Computed, not measured: crystalline LaCuBRh2 at its relaxed geometry at the PBE-GGA level of DFT.

Lattice parameters (Å, degrees): 4.314 4.314 4.228 90.00 90.00 90.00
Positions (direct):
Rh: 0.000 0.500 0.000
Rh: 0.500 0.000 0.000
Cu: 0.000 0.000 0.500
La: 0.500 0.500 0.500
B: 0.000 0.000 0.000

## Properties
size of the total moment = 0.0 Bohr magnetons per cell
energy of formation from the pure elements = -475 meV per atom
D(E_F) = 0.3159 states/eV/atom
SG = P4/mmm
electronic total energy = -6.5553 eV per atom

=====

Computed, not measured: crystalline Zr3HN2 at its relaxed geometry at the PBE-GGA level of DFT.

Lattice parameters (Å, degrees): 3.264 3.264 7.293 102.96 102.96 89.87
Positions (direct):
N: 0.101 0.103 0.208
N: 0.767 0.769 0.540
H: 0.434 0.436 0.874
Zr: 0.605 0.606 0.215
Zr: 0.264 0.265 0.533
Zr: 0.934 0.936 0.874

## Properties
size of the total moment = 0.0 Bohr magnetons per cell
D(E_F) = 0.6141 states/eV/atom
SG = Fmmm
electronic total energy = -8.8576 eV per atom

=====

Computed, not measured: crystalline KNa8Pb4 at its relaxed geometry at the PBE-GGA level of DFT.

Lattice parameters (Å, degrees): 7.043 8.604 8.604 80.36 65.84 65.84
Positions (direct):
K: 0.000 0.000 0.000
Na: 0.000 0.672 0.328
Na: 0.000 0.328 0.672
Na: 0.500 0.227 0.773
Na: 0.500 0.773 0.227
Na: 0.727 0.773 0.773
Na: 0.273 0.227 0.227
Na: 0.672 0.328 0.328
Na: 0.328 0.672 0.672
Pb: 0.500 0.000 0.500
Pb: 0.000 0.500 0.000
Pb: 0.500 0.500 0.000
Pb: 0.000 0.000 0.500

## Properties
size of the total moment = 0.0 Bohr magnetons per cell
energy of formation from the pure elements = -118 meV per atom
D(E_F) = 0.6353 states/eV/atom
SG = I4/mmm
electronic total energy = -2.1548 eV per atom

=====

Computed, not measured: crystalline NpNb2V at its relaxed geometry at the PBE-GGA level of DFT.

Lattice parameters (Å, degrees): 3.203 4.719 4.719 90.00 90.00 90.00
Site moments in Bohr magnetons follow the coordinates.
Positions (direct):
V: 0.500 0.000 0.000  -0.37
Nb: 0.000 0.000 0.500  0.04
Nb: 0.000 0.500 0.000  0.04
Np: 0.500 0.500 0.500  2.89

## Properties
size of the total moment = 2.6 Bohr magnetons per cell
energy of formation from the pure elements = 328 meV per atom
D(E_F) = 2.1649 states/eV/atom
SG = P4/mmm
offset from the most stable computed form = 65 meV/atom
electronic total energy = -10.2219 eV per atom

=====

Computed, not measured: crystalline Pu4S4N at its relaxed geometry at the PBE-GGA level of DFT.

Lattice parameters (Å, degrees): 6.495 6.495 7.186 116.87 116.87 90.00
Site moments in Bohr magnetons follow the coordinates.
Positions (direct):
N: 0.000 0.000 0.000  -0.23
Pu: 0.678 0.678 0.761  5.14
Pu: 0.917 0.322 0.239  5.14
Pu: 0.083 0.083 0.761  5.14
Pu: 0.322 0.917 0.239  5.14
S: 0.701 0.701 0.402  -0.12
S: 0.299 0.299 0.598  -0.12
S: 0.500 0.000 0.000  -0.12
S: 0.000 0.500 0.000  -0.12

## Properties
size of the total moment = 21.0 Bohr magnetons per cell
D(E_F) = 3.5104 states/eV/atom
formation energy without anion corrections = -13.195 eV/f.u.
SG = I-42m
electronic total energy = -10.5954 eV per atom

=====

Computed, not measured: crystalline Cs2Sn2HgBi2 at its relaxed geometry at the PBE-GGA level of DFT.

Lattice parameters (Å, degrees): 5.871 9.659 9.163 47.74 71.24 52.52
Positions (direct):
Hg: 0.000 0.000 0.000
Cs: 0.706 0.905 0.779
Cs: 0.294 0.095 0.221
Sn: 0.646 0.480 0.747
Sn: 0.354 0.520 0.253
Bi: 0.143 0.567 0.579
Bi: 0.857 0.433 0.421

## Properties
size of the total moment = 0.0 Bohr magnetons per cell
energy of formation from the pure elements = -206 meV per atom
D(E_F) = 0.3264 states/eV/atom
SG = P-1
electronic total energy = -2.7460 eV per atom

=====

Computed, not measured: crystalline Mg2Al2Bi at its relaxed geometry at the PBE-GGA level of DFT.

Lattice parameters (Å, degrees): 8.349 8.349 3.267 90.00 90.00 90.00
Positions (direct):
Al: 0.828 0.328 0.500
Al: 0.672 0.828 0.500
Al: 0.172 0.672 0.500
Al: 0.328 0.172 0.500
Bi: 0.000 0.000 0.000
Bi: 0.500 0.500 0.000
Mg: 0.874 0.626 0.000
Mg: 0.126 0.374 0.000
Mg: 0.374 0.874 0.000
Mg: 0.626 0.126 0.000

## Properties
size of the total moment = 0.0 Bohr magnetons per cell
energy of formation from the pure elements = 141 meV per atom
D(E_F) = 0.5509 states/eV/atom
SG = P4/mbm
offset from the most stable computed form = 79 meV/atom
electronic total energy = -2.7699 eV per atom

=====

Computed, not measured: crystalline SrLa2FeHg at its relaxed geometry at the PBE-GGA level of DFT.

Lattice parameters (Å, degrees): 5.208 5.208 5.512 90.00 90.00 90.00
Positions (direct):
Fe: 0.000 0.000 0.000
La: 0.000 0.500 0.000
La: 0.500 0.000 0.000
Sr: 0.500 0.500 0.500
Hg: 0.000 0.000 0.500

## Properties
size of the total moment = 0.0 Bohr magnetons per cell
energy of formation from the pure elements = -26 meV per atom
D(E_F) = 1.0623 states/eV/atom
SG = P4/mmm
electronic total energy = -4.0860 eV per atom